Compound: Li2MgNi
Source: the Alexandria database
Functional: PBE
Structure: relaxed

Cell: 4.915 4.915 4.784 Å, 72.17 72.17 34.52°
Atoms (fractional coordinates):
Mg 0.522 0.522 0.435
Li 0.973 0.973 0.980
Li 0.742 0.742 0.788
Ni 0.263 0.263 0.297

* formation energy from the elements: 0.1 eV/f.u.
* mass density: 2593 kg/m3
* SG: Cm (8)